# GGA+U MnAsSe2F, optimized geometry
data_MnAsSe2F
_cell_length_a 4.674
_cell_length_b 4.674
_cell_length_c 4.692
_cell_angle_alpha 90.00
_cell_angle_beta 90.00
_cell_angle_gamma 90.00
_symmetry_space_group_name_H-M 'P 4/m m m'
_symmetry_Int_Tables_number 123
_symmetry_space_group_name_Hall '-P 4 2'
loop_
_atom_site_label
_atom_site_type_symbol
_atom_site_fract_x
_atom_site_fract_y
_atom_site_fract_z
Mn1 Mn 0.000 0.000 0.000
As1 As 0.000 0.000 0.500
Se1 Se 0.000 0.500 0.000
F1 F 0.500 0.500 0.500
# excess energy over the best structure of this formula in the dataset: 0.460 eV/atom
# total DFT energy (no corrections): -17.816 eV per cell
# V: 102.49 Å³ per cell